Density functional theory data (PBE-GGA) for a geometry-optimized NdHo3Mg structure.

The structure in extended XYZ format:
```
20
Lattice="7.522 -6.458 0.000 7.522 6.458 0.000 -1.630 0.000 6.302" Properties=species:S:1:pos:R:3 pbc="T T T"
Nd 0.785 0.993 2.834
Nd -0.030 -0.993 5.985
Nd 13.443 0.993 0.317
Nd 12.628 -0.993 3.468
Ho 5.973 3.954 0.265
Ho 4.027 2.372 2.276
Ho 3.071 0.973 5.384
Ho 8.255 3.954 2.886
Ho 3.887 -0.973 2.233
Ho 3.212 -2.372 5.427
Ho 10.201 2.372 0.875
Ho 9.526 0.973 4.068
Ho 5.158 -3.954 3.416
Ho 10.342 -0.973 0.918
Ho 9.386 -2.372 4.026
Ho 7.440 -3.954 6.037
Mg 6.299 2.146 4.726
Mg 7.114 0.957 1.575
Mg 6.299 -0.957 4.726
Mg 7.114 -2.146 1.575
```

Excess energy over the best structure of this formula in the dataset, eV/f.u.: 0.28
N(E_F), states/eV per atom: 1.2710
Symmetry: C2/c (15)
Calculated volume, Å³ per cell: 612.21
Calculated formation energy, meV/atom: 41.4
Magnetic moment, μB/f.u.: 0.00